w:
## MnCuTc2 (PBE-GGA)

Data for MnCuTc2 after structural relaxation.

Cell lengths 3.106, 3.106, 5.678 Å; angles 90.00, 90.00, 90.00 degrees
Each line ends with the local moment (μB).
Fractional coordinates of all 4 atoms:
Tc1 0.000 0.000 0.005  -0.15
Mn1 0.500 0.500 0.727  3.15
Tc2 0.500 0.500 0.253  -0.16
Cu1 0.000 0.000 0.515  0.05

Density of states at the Fermi level   3.4 states/eV/cell
V   54.8 Å³/f.u.


x:
## MnCuTc2 (PBE-GGA)

Data for MnCuTc2 after structural relaxation.

Cell lengths 3.692, 3.692, 3.944 Å; angles 90.00, 90.00, 90.00 degrees
Each line ends with the local moment (μB).
Fractional coordinates of all 4 atoms:
Mn1 0.000 0.500 0.500  2.84
Cu1 0.500 0.000 0.500  0.04
Tc1 0.500 0.500 0.000  -0.16
Tc2 0.000 0.000 0.000  -0.16

Density of states at the Fermi level   2.9 states/eV/cell
V   53.8 Å³/f.u.


y:
## MnCuTc2 (PBE-GGA)

Data for MnCuTc2 after structural relaxation.

Cell lengths 5.862, 4.709, 2.590 Å; angles 89.92, 63.91, 120.10 degrees
Each line ends with the local moment (μB).
Fractional coordinates of all 4 atoms:
Tc1 0.000 0.000 0.000  -0.16
Cu1 0.000 0.500 0.500  0.01
Tc2 0.500 0.000 0.500  -0.16
Mn1 0.500 0.500 0.000  2.18

Density of states at the Fermi level   4.0 states/eV/cell
V   53.2 Å³/f.u.


Name the most stable of them. w.


w:
## MnCuTc2 (PBE-GGA)

Data for MnCuTc2 after structural relaxation.

Cell lengths 6.758, 6.758, 5.411 Å; angles 51.36, 51.36, 90.00 degrees
Fractional coordinates of all 8 atoms:
Cu1 0.000 0.000 0.000
Tc1 0.375 0.422 0.750
Tc2 0.578 0.125 0.250
Mn1 0.250 0.750 0.500
Mn2 0.500 0.500 0.000
Cu2 0.750 0.250 0.500
Tc3 0.875 0.828 0.750
Tc4 0.172 0.625 0.250

Density of states at the Fermi level   3.1 states/eV/cell
V   58.0 Å³/f.u.


x:
## MnCuTc2 (PBE-GGA)

Data for MnCuTc2 after structural relaxation.

Cell lengths 3.816, 2.619, 5.873 Å; angles 63.64, 90.00, 90.00 degrees
Each line ends with the local moment (μB).
Fractional coordinates of all 4 atoms:
Tc1 0.000 0.004 0.994  -0.19
Mn1 0.500 0.750 0.750  1.40
Tc2 0.000 0.496 0.506  -0.19
Cu1 0.500 0.250 0.250  0.01

Density of states at the Fermi level   3.4 states/eV/cell
V   52.6 Å³/f.u.


y:
## MnCuTc2 (PBE-GGA)

Data for MnCuTc2 after structural relaxation.

Cell lengths 8.788, 8.788, 8.788 Å; angles 17.44, 17.44, 17.44 degrees
Fractional coordinates of all 4 atoms:
Tc1 0.250 0.250 0.250
Tc2 0.004 0.004 0.004
Cu1 0.497 0.497 0.497
Mn1 0.750 0.750 0.750

Density of states at the Fermi level   4.1 states/eV/cell
V   53.2 Å³/f.u.


z:
## MnCuTc2 (PBE-GGA)

Data for MnCuTc2 after structural relaxation.

Cell lengths 4.273, 4.273, 4.273 Å; angles 60.00, 60.00, 60.00 degrees
Each line ends with the local moment (μB).
Fractional coordinates of all 4 atoms:
Tc1 0.250 0.250 0.250  -0.01
Mn1 0.750 0.750 0.750  3.19
Tc2 0.000 0.000 0.000  -0.12
Cu1 0.500 0.500 0.500  0.06

Density of states at the Fermi level   4.4 states/eV/cell
V   55.2 Å³/f.u.


Name the most stable of them. x.


w:
## MnCuTc2 (PBE-GGA)

Data for MnCuTc2 after structural relaxation.

Cell lengths 4.589, 4.589, 4.589 Å; angles 130.96, 130.97, 71.87 degrees
Each line ends with the local moment (μB).
Fractional coordinates of all 4 atoms:
Tc1 0.000 0.000 0.000  -0.32
Cu1 0.500 0.500 0.000  0.05
Mn1 0.250 0.750 0.500  2.78
Tc2 0.750 0.250 0.500  0.10

Density of states at the Fermi level   3.6 states/eV/cell
V   53.9 Å³/f.u.


x:
## MnCuTc2 (PBE-GGA)

Data for MnCuTc2 after structural relaxation.

Cell lengths 4.195, 4.195, 4.195 Å; angles 60.00, 60.00, 60.00 degrees
Fractional coordinates of all 4 atoms:
Tc1 0.250 0.250 0.250
Mn1 0.000 0.000 0.000
Cu1 0.500 0.500 0.500
Tc2 0.750 0.750 0.750

Density of states at the Fermi level   7.8 states/eV/cell
V   52.2 Å³/f.u.


y:
## MnCuTc2 (PBE-GGA)

Data for MnCuTc2 after structural relaxation.

Cell lengths 2.769, 2.769, 7.176 Å; angles 90.00, 90.00, 90.00 degrees
Each line ends with the local moment (μB).
Fractional coordinates of all 4 atoms:
Tc1 0.000 0.000 0.997  -0.26
Cu1 0.000 0.000 0.508  0.06
Tc2 0.500 0.500 0.250  -0.04
Mn1 0.500 0.500 0.744  3.07

Density of states at the Fermi level   3.7 states/eV/cell
V   55.0 Å³/f.u.


z:
## MnCuTc2 (PBE-GGA)

Data for MnCuTc2 after structural relaxation.

Cell lengths 2.617, 2.617, 8.385 Å; angles 90.00, 90.00, 107.21 degrees
Each line ends with the local moment (μB).
Fractional coordinates of all 4 atoms:
Tc1 0.500 0.500 0.252  -0.02
Cu1 0.000 0.000 0.510  0.07
Tc2 0.000 0.000 0.988  -0.17
Mn1 0.500 0.500 0.750  2.70

Density of states at the Fermi level   3.8 states/eV/cell
V   54.9 Å³/f.u.


Name the most stable of them. w.


w:
## MnCuTc2 (PBE-GGA)

Data for MnCuTc2 after structural relaxation.

Cell lengths 2.634, 2.634, 7.547 Å; angles 90.00, 90.00, 90.00 degrees
Fractional coordinates of all 4 atoms:
Cu1 0.500 0.500 0.250
Mn1 0.500 0.500 0.750
Tc1 0.000 0.000 0.987
Tc2 0.000 0.000 0.513

Density of states at the Fermi level   5.0 states/eV/cell
V   52.4 Å³/f.u.


x:
## MnCuTc2 (PBE-GGA)

Data for MnCuTc2 after structural relaxation.

Cell lengths 4.767, 4.767, 4.767 Å; angles 134.71, 134.69, 66.00 degrees
Each line ends with the local moment (μB).
Fractional coordinates of all 4 atoms:
Mn1 0.250 0.750 0.500  2.59
Tc1 0.500 0.500 0.000  -0.10
Cu1 0.750 0.250 0.500  0.06
Tc2 0.000 0.000 0.000  -0.10

Density of states at the Fermi level   3.8 states/eV/cell
V   53.9 Å³/f.u.


Name the most stable of them. w.